VASP calculation (PBE+U) on a geometry-optimized TmFeF5 structure.

Properties
E_tot (hartree per atom): -0.2282
SG: C2/c

Geometry as extended XYZ:
```
14
Lattice="-0.274 -5.508 -1.198 5.012 -2.127 1.486 -0.796 -3.835 6.398" Properties=species:S:1:pos:R:3 pbc="T T T"
F 1.012 -6.130 2.616
F 0.997 -3.191 2.524
Tm 2.432 -4.609 1.877
F 1.432 -4.637 -0.092
Fe 0.000 0.000 0.000
F 4.128 -3.524 2.738
F 2.511 -6.834 6.779
F 2.931 -5.341 4.071
F -0.186 -7.947 3.949
F 3.628 -6.180 1.108
Tm 1.511 -6.861 4.810
F 2.946 -8.279 4.163
Fe -0.398 -1.918 3.199
F 0.315 -5.291 5.579
```